Here is a geometry-optimized Li3Co2Si2O8 structure from the Alexandria database. Energies are from PBE+U.

Structure (extended XYZ):
```
30
Lattice="5.103 0.000 0.000 0.000 6.417 -0.007 0.000 -0.005 10.735" Properties=species:S:1:pos:R:3 pbc="T T T"
O 2.350 5.336 9.843
O 0.353 5.759 1.035
O 4.846 2.119 6.398
O 4.543 3.953 9.040
O 2.269 2.691 9.781
O 0.030 0.726 3.321
O 0.559 3.956 3.672
O 5.072 0.724 8.689
O 2.833 2.693 4.414
O 2.358 4.106 7.447
O 3.183 0.657 1.438
O 2.753 5.338 4.476
O 2.745 4.109 2.080
O 4.750 5.756 6.403
O 0.256 2.121 1.030
O 1.920 0.655 6.806
Si 4.815 0.737 1.736
Si 2.897 3.984 9.043
Si 2.206 3.987 3.675
Si 0.288 0.735 7.104
Li 0.253 3.922 7.215
Li 2.814 2.343 6.343
Li 4.817 5.597 4.351
Li 0.285 5.594 9.718
Li 4.850 3.925 1.847
Li 2.289 2.345 0.975
Co 4.776 2.300 4.390
Co 0.327 2.298 9.758
Co 2.842 5.565 6.297
Co 2.261 5.568 0.929
```

Summary:
D(E_F): 0.9 states/eV per cell
Energy: -6.4973 eV/atom